[1]
YNbCrPt2, PBEsol geometry, DFT SCAN; SG = P4/mmm, No. 123; electronic total energy = -1.56352 hartree per atom; ΔE_f = 1403.1 meV per atom
1.0
-4.002 -2.111 1.897
2.832 -3.184 2.433
0.184 3.078 3.815
Y Pt Nb Cr
1 2 1 1
Direct
0.000 0.000 0.000 Y
0.000 0.500 0.000 Pt
0.500 0.000 0.000 Pt
0.000 0.000 0.500 Nb
0.500 0.500 0.500 Cr

[2]
InFeTc, PBEsol geometry, DFT SCAN; SG = F-43m, No. 216; electronic total energy = -1.03080 hartree per atom; ΔE_f = 809.1 meV per atom
1.0
-2.562 0.248 -3.284
-0.975 -3.441 -2.150
-3.853 -1.586 0.235
In Fe Tc
1 1 1
Direct
0.500 0.500 0.500 In
0.000 0.000 0.000 Fe
0.250 0.250 0.250 Tc